No. 1
This record from the Alexandria database describes an optimized crystal structure of TaTi2Zn. The functional is PBE.

The structure belongs to space group P4/mmm (No. 123); the cell edges are 4.061, 4.061 and 3.989 Å and the angles 90.00°, 90.00° and 90.00°. Symmetry generates all atoms from Ta at (0.000, 0.000, 0.000), Ti at (0.000, 0.500, 0.500) and Zn at (0.500, 0.500, 0.000).

The calculation puts the energy at -7.292 eV per atom. The value obtained for the formation energy from the elements is -0.063 eV/atom.

No. 2
This record from the Alexandria database describes an optimized crystal structure of SrMg2CuSe4. The functional is PBE.

The structure belongs to space group Cmcm (No. 63); the cell edges are 3.974, 13.380 and 13.861 Å and the angles 90.00°, 90.00° and 90.00°. Symmetry generates all atoms from Sr at (0.000, 0.124, 0.250), Mg at (0.000, 0.374, 0.058), Cu at (0.000, 0.154, 0.750), Se at (0.000, 0.000, 0.000), Se at (0.000, 0.264, 0.611) and Se at (0.000, 0.445, 0.250).

The calculation puts the energy at -3.945 eV per atom.

No. 3
This record from the Alexandria database describes an optimized crystal structure of CsKNp4N8. The functional is PBE.

The structure belongs to space group R3m (No. 160, hexagonal axes); the cell edges are 6.9420, 6.9420 and 21.3496 Å and the angles 90.00°, 90.00° and 120.00°. Symmetry generates all atoms from Cs at (0.0000, 0.0000, 0.0000), K at (0.0000, 0.0000, 0.3526), Np at (0.0000, 0.0000, 0.8329), Np at (0.1673, 0.3346, 0.1777), N at (0.0000, 0.0000, 0.1362), N at (0.0000, 0.0000, 0.5529), N at (0.0062, 0.5031, 0.5512) and N at (0.0120, 0.5060, 0.1298).

The calculation puts the energy at -9.406 eV per atom.

No. 4
This record from the Alexandria database describes an optimized crystal structure of La3CuHg. The functional is PBE.

The structure belongs to space group Pm-3m (No. 221); the cell edges are 5.574, 5.574 and 5.574 Å and the angles 90.00°, 90.00° and 90.00°. Symmetry generates all atoms from La at (0.000, 0.000, 0.500), Cu at (0.000, 0.000, 0.000) and Hg at (0.500, 0.500, 0.500).

The calculation puts the energy at -3.759 eV per atom. The value obtained for the formation energy from the elements is 0.078 eV/atom. For the energy above the most stable polymorph in this dataset, the calculation gives 302.0 meV per atom.

No. 5
This record from the Alexandria database describes an optimized crystal structure of HfBiPb2O6. The functional is PBE.

The structure belongs to space group P2_1/c (No. 14); the cell edges are 5.938, 6.043 and 10.355 Å and the angles 90.00°, 124.87° and 90.00°. Symmetry generates all atoms from Hf at (0.000, 0.000, 0.000), Bi at (0.500, 0.000, 0.500), Pb at (0.255, 0.033, 0.749), O at (0.149, 0.024, 0.239), O at (0.231, 0.713, 0.044) and O at (0.331, 0.193, 0.044).

The calculation puts the energy at -6.854 eV per atom.

No. 6
This record from the Alexandria database describes an optimized crystal structure of SrCo2Ir. The functional is PBE.

The structure belongs to space group Amm2 (No. 38); the cell edges are 4.001, 2.918 and 12.212 Å and the angles 90.00°, 90.00° and 90.00°. Symmetry generates all atoms from Sr at (0.000, 0.000, 0.000), Co at (0.000, 0.000, 0.753), Co at (0.500, 0.000, 0.659) and Ir at (0.500, 0.000, 0.325).

The calculation puts the energy at -5.770 eV per atom. The value obtained for the formation energy from the elements is 0.418 eV/atom.

No. 7
This record from the Alexandria database describes an optimized crystal structure of TlAgI2. The functional is PBE.

The structure belongs to space group I-42d (No. 122); the cell edges are 8.315, 8.315 and 9.225 Å and the angles 90.00°, 90.00° and 90.00°. Symmetry generates all atoms from Tl at (0.000, 0.000, 0.000), Ag at (0.000, 0.000, 0.500) and I at (0.194, 0.250, 0.625).

The calculation puts the energy at -2.491 eV per atom. For the energy above the most stable polymorph in this dataset, the calculation gives 34.3 meV per atom.

No. 8
This record from the Alexandria database describes an optimized crystal structure of Rb2GePd2. The functional is PBE.

The structure belongs to space group P4/mbm (No. 127); the cell edges are 6.659, 6.659 and 5.843 Å and the angles 90.00°, 90.00° and 90.00°. Symmetry generates all atoms from Rb at (0.178, 0.322, 0.000), Ge at (0.000, 0.000, 0.500) and Pd at (0.150, 0.650, 0.500).

The calculation puts the energy at -3.436 eV per atom. The value obtained for the formation energy from the elements is -0.048 eV/atom. For the energy above the most stable polymorph in this dataset, the calculation gives 225.4 meV per atom.

No. 9
This record from the Alexandria database describes an optimized crystal structure of InAsPb. The functional is PBE.

The structure belongs to space group P3m1 (No. 156); the cell edges are 4.2271, 4.2271 and 5.4909 Å and the angles 90.00°, 90.00° and 120.00°. Symmetry generates all atoms from In at (0.0000, 0.0000, 0.0000), As at (0.6667, 0.3333, 0.7358) and Pb at (0.3333, 0.6667, 0.4209).

The calculation puts the energy at -3.737 eV per atom. The value obtained for the formation energy from the elements is -0.039 eV/atom. For the energy above the most stable polymorph in this dataset, the calculation gives 0.0 meV per atom.

No. 10
This record from the Alexandria database describes an optimized crystal structure of MgTaAlCd2. The functional is PBE.

The structure belongs to space group P4/mmm (No. 123); the cell edges are 5.462, 5.462 and 5.486 Å and the angles 90.00°, 90.00° and 90.00°. Symmetry generates all atoms from Mg at (0.000, 0.000, 0.000), Ta at (0.000, 0.000, 0.500), Al at (0.500, 0.500, 0.000) and Cd at (0.000, 0.500, 0.500).

The calculation puts the energy at -2.497 eV per atom. The value obtained for the formation energy from the elements is 1.307 eV/atom.

No. 11
This record from the Alexandria database describes an optimized crystal structure of Cr2MoRh. The functional is PBE.

The structure belongs to space group C2/m (No. 12); the cell edges are 5.242, 8.432 and 2.615 Å and the angles 90.00°, 110.30° and 90.00°. Symmetry generates all atoms from Cr at (0.250, 0.250, 0.000), Mo at (0.000, 0.000, 0.500) and Rh at (0.000, 0.500, 0.500).

The calculation puts the energy at -9.181 eV per atom. The value obtained for the formation energy from the elements is 0.176 eV/atom.

No. 12
This record from the Alexandria database describes an optimized crystal structure of Ac6Ir3Pt2. The functional is PBE.

The structure belongs to space group C2/m (No. 12); the cell edges are 7.546, 13.049 and 7.571 Å and the angles 90.00°, 109.16° and 90.00°. Symmetry generates all atoms from Ac at (0.236, 0.174, 0.231), Ac at (0.241, 0.000, 0.763), Ir at (0.000, 0.000, 0.000), Ir at (0.000, 0.339, 0.000) and Pt at (0.000, 0.168, 0.500).

The calculation puts the energy at -6.569 eV per atom. The value obtained for the formation energy from the elements is -0.813 eV/atom.

No. 13
This record from the Alexandria database describes an optimized crystal structure of CsYSeN2. The functional is PBE.

The structure belongs to space group P4/mmm (No. 123); the cell edges are 4.319, 4.319 and 6.260 Å and the angles 90.00°, 90.00° and 90.00°. Symmetry generates all atoms from Cs at (0.000, 0.000, 0.000), Y at (0.500, 0.500, 0.500), Se at (0.000, 0.000, 0.500) and N at (0.000, 0.500, 0.000).

The calculation puts the energy at -4.098 eV per atom. For the energy above the most stable polymorph in this dataset, the calculation gives 1201.4 meV per atom.

No. 14
This record from the Alexandria database describes an optimized crystal structure of HfTa2B. The functional is PBE.

The structure belongs to space group I-42d (No. 122); the cell edges are 7.490, 7.490 and 4.877 Å and the angles 90.00°, 90.00° and 90.00°. Symmetry generates all atoms from Hf at (0.000, 0.000, 0.000), Ta at (0.158, 0.250, 0.625) and B at (0.000, 0.000, 0.500).

The calculation puts the energy at -9.863 eV per atom. The value obtained for the formation energy from the elements is 0.221 eV/atom.

No. 15
This record from the Alexandria database describes an optimized crystal structure of TaSiOs2. The functional is PBE.

The structure belongs to space group Cm (No. 8); the cell edges are 9.292, 3.064 and 4.423 Å and the angles 90.00°, 108.22° and 90.00°. Symmetry generates all atoms from Ta at (0.000, 0.000, 0.000), Si at (0.257, 0.500, 0.356), Os at (0.253, 0.000, 0.850) and Os at (0.486, 0.000, 0.479).

The calculation puts the energy at -10.117 eV per atom.

No. 16
This record from the Alexandria database describes an optimized crystal structure of TcBr5. The functional is PBE.

The structure belongs to space group Cm (No. 8); the cell edges are 16.130, 3.119 and 9.598 Å and the angles 90.00°, 94.46° and 90.00°. Symmetry generates all atoms from Tc at (0.000, 0.000, 0.000), Br at (0.004, 0.500, 0.209), Br at (0.105, 0.500, 0.902), Br at (0.240, 0.000, 0.224), Br at (0.388, 0.000, 0.889) and Br at (0.490, 0.500, 0.549).

The calculation puts the energy at -3.055 eV per atom. For the energy above the most stable polymorph in this dataset, the calculation gives 0.0 meV per atom.

No. 17
This record from the Alexandria database describes an optimized crystal structure of Na3Pu3ZrS8. The functional is PBE.

The structure belongs to space group C2/m (No. 12); the cell edges are 13.786, 7.963 and 8.146 Å and the angles 90.00°, 124.33° and 90.00°. Symmetry generates all atoms from Na at (0.000, 0.000, 0.000), Na at (0.250, 0.250, 0.000), Pu at (0.000, 0.500, 0.500), Pu at (0.250, 0.250, 0.500), Zr at (0.000, 0.000, 0.500), S at (0.006, 0.235, 0.283), S at (0.230, 0.000, 0.716) and S at (0.243, 0.500, 0.728).

The calculation puts the energy at -7.516 eV per atom.

No. 18
This record from the Alexandria database describes an optimized crystal structure of La3ErPb. The functional is PBE.

The structure belongs to space group P-1 (No. 2); the cell edges are 6.673, 6.942 and 8.634 Å and the angles 82.91°, 74.12° and 62.47°. Symmetry generates all atoms from La at (0.200, 0.117, 0.377), La at (0.203, 0.635, 0.255), La at (0.261, 0.813, 0.815), Er at (0.287, 0.261, 0.965) and Pb at (0.336, 0.374, 0.600).

The calculation puts the energy at -4.816 eV per atom. The value obtained for the formation energy from the elements is -0.205 eV/atom.

No. 19
This record from the Alexandria database describes an optimized crystal structure of AcLaAlCd. The functional is PBE.

The structure belongs to space group F-43m (No. 216); the cell edges are 7.903, 7.903 and 7.903 Å and the angles 90.00°, 90.00° and 90.00°. Symmetry generates all atoms from Ac at (0.000, 0.000, 0.000), La at (0.000, 0.000, 0.500), Al at (0.250, 0.250, 0.750) and Cd at (0.250, 0.250, 0.250).

The calculation puts the energy at -3.708 eV per atom. The value obtained for the formation energy from the elements is -0.284 eV/atom. For the energy above the most stable polymorph in this dataset, the calculation gives 20.4 meV per atom.

No. 20
This record from the Alexandria database describes an optimized crystal structure of CaLa2Cd4. The functional is PBE.

The structure belongs to space group R-3m (No. 166, hexagonal axes); the cell edges are 5.4099, 5.4099 and 26.3164 Å and the angles 90.00°, 90.00° and 120.00°. Symmetry generates all atoms from Ca at (0.0000, 0.0000, 0.0000), La at (0.0000, 0.0000, 0.2501), Cd at (0.0000, 0.0000, 0.1257) and Cd at (0.0000, 0.0000, 0.3785).

The calculation puts the energy at -2.386 eV per atom. The value obtained for the formation energy from the elements is -0.169 eV/atom.

No. 21
This record from the Alexandria database describes an optimized crystal structure of Tm2GePb. The functional is PBE.

The structure belongs to space group R3m (No. 160, hexagonal axes); the cell edges are 3.9623, 3.9623 and 24.5831 Å and the angles 90.00°, 90.00° and 120.00°. Symmetry generates all atoms from Tm at (0.0000, 0.0000, 0.0000), Tm at (0.0000, 0.0000, 0.2020), Ge at (0.0000, 0.0000, 0.6017) and Pb at (0.0000, 0.0000, 0.4340).

The calculation puts the energy at -4.818 eV per atom. The value obtained for the formation energy from the elements is -0.501 eV/atom.